First-principles (PBE+U) data for crystalline YMoI2O at its relaxed geometry, as listed in Alexandria via LeMat-Bulk.

Crystal system ... tetragonal
Space-group type ... P4/mmm (123)
Magnetization ... 0.570 μB/atom
Uncorrected energy ... -4.784 eV per atom
Energy above the lowest structure with this stoichiometry ... 0.4039 eV per atom

abc: 6.066 6.066 3.893
angles: 90.00 90.00 90.00
Positions (direct):
Y (0.000, 0.000, 0.000)
Mo (0.500, 0.500, 0.500)
I (0.000, 0.500, 0.500)
I (0.500, 0.000, 0.500)
O (0.500, 0.500, 0.000)